Entry 1:
Here is a PBEsol-optimized structure of Li3SbS3 from Alexandria via LeMat-Bulk. Energies are from meta-GGA SCAN.

Geometry as POSCAR:
```
Li3SbS3
1.0
4.072 0.000 0.000
0.000 11.879 0.000
-2.765 0.000 11.399
Li Sb S
12 4 12
direct
0.007 0.228 0.019
0.007 0.272 0.519
0.292 0.041 0.395
0.292 0.459 0.895
0.334 0.542 0.380
0.334 0.958 0.880
0.666 0.042 0.120
0.666 0.458 0.620
0.708 0.541 0.105
0.708 0.959 0.605
0.993 0.728 0.481
0.993 0.772 0.981
0.420 0.702 0.758
0.420 0.798 0.258
0.580 0.202 0.742
0.580 0.298 0.242
0.196 0.083 0.596
0.196 0.417 0.096
0.234 0.124 0.203
0.234 0.376 0.703
0.440 0.153 0.929
0.440 0.347 0.429
0.560 0.653 0.571
0.560 0.847 0.071
0.766 0.624 0.297
0.766 0.876 0.797
0.804 0.583 0.904
0.804 0.917 0.404
```

Results
The density of states at the Fermi level comes out at 0.000 states/eV per atom.

---

Entry 2:
Here is a PBEsol-optimized structure of Li5SbS4 from Alexandria via LeMat-Bulk. Energies are from meta-GGA SCAN.

Geometry as POSCAR:
```
Li5SbS4
1.0
7.610 0.000 0.000
0.000 9.116 0.000
0.000 0.000 5.436
Li Sb S
10 2 8
direct
0.030 0.039 0.250
0.030 0.461 0.250
0.250 0.750 0.210
0.470 0.039 0.250
0.470 0.461 0.250
0.530 0.539 0.750
0.530 0.961 0.750
0.750 0.250 0.790
0.970 0.539 0.750
0.970 0.961 0.750
0.250 0.250 0.849
0.750 0.750 0.151
0.013 0.250 0.540
0.250 0.541 0.950
0.250 0.959 0.950
0.487 0.250 0.540
0.513 0.750 0.460
0.750 0.041 0.050
0.750 0.459 0.050
0.987 0.750 0.460
```

---

Entry 3:
Here is a PBEsol-optimized structure of Li3SbS4 from Alexandria via LeMat-Bulk. Energies are from meta-GGA SCAN.

Geometry as POSCAR:
```
Li3SbS4
1.0
-2.815 2.815 5.387
2.815 -2.815 5.387
2.815 2.815 -5.387
Li Sb S
3 1 4
direct
0.000 0.000 0.000
0.250 0.750 0.500
0.750 0.250 0.500
0.500 0.500 0.000
0.132 0.614 0.000
0.386 0.386 0.518
0.614 0.132 0.000
0.868 0.868 0.482
```

Results
The density of states at the Fermi level comes out at 0.000 states/eV per atom.

---

Entry 4:
Here is a PBEsol-optimized structure of Li3Sb17S27 from Alexandria via LeMat-Bulk. Energies are from meta-GGA SCAN.

Geometry as POSCAR:
```
Li3Sb17S27
1.0
8.662 0.000 0.000
-0.870 8.619 0.000
-1.284 -4.062 14.534
Li Sb S
3 17 27
direct
0.000 0.000 0.000
0.329 0.343 0.009
0.667 0.667 0.000
0.038 0.548 0.881
0.052 0.168 0.304
0.122 0.832 0.430
0.208 0.502 0.561
0.286 0.773 0.121
0.291 0.173 0.687
0.372 0.886 0.883
0.449 0.163 0.421
0.538 0.833 0.561
0.614 0.130 0.115
0.621 0.500 0.683
0.700 0.220 0.882
0.702 0.817 0.304
0.784 0.497 0.421
0.869 0.174 0.564
0.953 0.833 0.687
0.974 0.461 0.120
0.008 0.298 0.961
0.055 0.846 0.851
0.071 0.514 0.381
0.160 0.170 0.498
0.252 0.826 0.619
0.268 0.505 0.159
0.317 0.049 0.035
0.327 0.168 0.267
0.328 0.488 0.726
0.343 0.633 0.961
0.383 0.184 0.851
0.408 0.849 0.382
0.487 0.514 0.501
0.590 0.164 0.624
0.601 0.821 0.146
0.641 0.372 0.035
0.663 0.822 0.727
0.676 0.517 0.267
0.676 0.965 0.964
0.721 0.511 0.850
0.735 0.180 0.372
0.829 0.839 0.500
0.919 0.494 0.624
0.942 0.163 0.145
0.981 0.709 0.033
0.996 0.155 0.724
0.998 0.848 0.269
```

---

Entry 5:
Here is a PBEsol-optimized structure of Li3SbS3 from Alexandria via LeMat-Bulk. Energies are from meta-GGA SCAN.

Geometry as POSCAR:
```
Li3SbS3
1.0
7.772 0.000 0.000
0.000 6.762 0.000
0.000 0.000 9.979
Li Sb S
12 4 12
direct
0.054 0.036 0.000
0.090 0.346 0.451
0.237 0.370 0.156
0.263 0.870 0.656
0.410 0.846 0.951
0.446 0.536 0.500
0.554 0.464 0.000
0.590 0.154 0.451
0.737 0.130 0.156
0.763 0.630 0.656
0.910 0.654 0.951
0.946 0.964 0.500
0.228 0.392 0.772
0.272 0.892 0.272
0.728 0.108 0.772
0.772 0.608 0.272
0.033 0.134 0.263
0.160 0.692 0.457
0.180 0.698 0.077
0.320 0.198 0.577
0.340 0.192 0.957
0.467 0.634 0.763
0.533 0.366 0.263
0.660 0.808 0.457
0.680 0.802 0.077
0.820 0.302 0.577
0.840 0.308 0.957
0.967 0.866 0.763
```

Results
The density of states at the Fermi level comes out at 0.000 states/eV per atom.

---

Entry 6:
Here is a PBEsol-optimized structure of Li3SbS4 from Alexandria via LeMat-Bulk. Energies are from meta-GGA SCAN.

Geometry as POSCAR:
```
Li3SbS4
1.0
6.391 0.000 0.000
0.000 7.385 0.000
-2.105 0.000 5.926
Li Sb S
6 2 8
direct
0.000 0.113 0.250
0.000 0.887 0.750
0.500 0.117 0.750
0.500 0.355 0.250
0.500 0.645 0.750
0.500 0.883 0.250
0.000 0.362 0.750
0.000 0.638 0.250
0.237 0.388 0.501
0.237 0.612 0.001
0.253 0.135 0.982
0.253 0.865 0.482
0.747 0.135 0.518
0.747 0.865 0.018
0.763 0.388 0.999
0.763 0.612 0.499
```

---

Entry 7:
Here is a PBEsol-optimized structure of Li3SbS4 from Alexandria via LeMat-Bulk. Energies are from meta-GGA SCAN.

Geometry as POSCAR:
```
Li3SbS4
1.0
6.088 0.000 0.000
0.000 6.088 0.000
0.000 0.000 6.088
Li Sb S
3 1 4
direct
0.000 0.000 0.500
0.000 0.500 0.000
0.500 0.000 0.000
0.000 0.000 0.000
0.221 0.221 0.221
0.221 0.779 0.779
0.779 0.221 0.779
0.779 0.779 0.221
```

Results
The density of states at the Fermi level comes out at 0.000 states/eV per atom.

---

Entry 8:
Here is a PBEsol-optimized structure of Li3SbS3 from Alexandria via LeMat-Bulk. Energies are from meta-GGA SCAN.

Geometry as POSCAR:
```
Li3SbS3
1.0
5.256 3.035 1.399
-5.256 3.035 1.399
0.000 -6.070 1.399
Li Sb S
3 1 3
direct
0.189 0.189 0.622
0.189 0.622 0.189
0.622 0.189 0.189
0.781 0.781 0.781
0.264 0.618 0.618
0.618 0.264 0.618
0.618 0.618 0.264
```

Results
The density of states at the Fermi level comes out at 0.000 states/eV per atom.

---

Number 1: total magnetic moment 0.00 μB/f.u., ΔE_f (raw) -1.04 eV/atom. Number 2: total magnetic moment 0.00 μB/f.u., ΔE_f (raw) -1.11 eV/atom. Number 3: total magnetic moment 0.00 μB/f.u., ΔE_f (raw) -0.97 eV/atom. Number 4: total magnetic moment 0.00 μB/f.u., ΔE_f (raw) -0.37 eV/atom. Number 5: total magnetic moment 0.00 μB/f.u., ΔE_f (raw) -1.08 eV/atom. Number 6: total magnetic moment 0.00 μB/f.u., ΔE_f (raw) -0.91 eV/atom. Number 7: total magnetic moment 0.00 μB/f.u., ΔE_f (raw) -0.86 eV/atom. Number 8: total magnetic moment 0.00 μB/f.u., ΔE_f (raw) -1.04 eV/atom.